Material: CsKNa2Cd
Method: DFT, PBE-GGA
State: optimized geometry

POSCAR file:
```
CsKNa2Cd
1.0
6.346 0.000 0.000
0.000 6.346 0.000
0.000 0.000 6.754
Cs Cd K Na
1 1 1 2
direct
0.500 0.500 0.500
0.000 0.000 0.000
0.000 0.000 0.500
0.500 0.000 0.000
0.000 0.500 0.000
```

Computed properties:
The calculation puts the density at 2.0 Mg/m³. The formation enthalpy at 0 K comes out at 39 meV per atom. As for the energy above the most stable polymorph in this dataset: 0.0000 eV/atom.